Compound: Ba2La2CoTe2O12
Source: the Open Quantum Materials Database
Functional: GGA+U
Structure: relaxed

Geometry as extended XYZ:
```
19
Lattice="2.854 1.648 9.165 -2.854 1.648 9.165 0.000 -3.296 9.165" Properties=species:S:1:pos:R:3 pbc="T T T"
Ba 0.000 0.000 3.728
Ba 0.000 0.000 23.768
La 0.000 0.000 7.954
La 0.000 0.000 19.542
Co 0.000 0.000 0.000
Te 0.000 0.000 11.425
Te 0.000 0.000 16.071
O -1.323 -1.009 12.365
O -1.495 0.448 10.199
O 0.359 -1.519 10.199
O -1.136 -1.070 17.297
O -1.535 0.642 15.131
O 0.212 -1.650 15.131
O -0.212 1.650 12.365
O 1.535 -0.642 12.365
O 1.136 1.070 10.199
O -0.359 1.519 17.297
O 1.495 -0.448 17.297
O 1.323 1.009 15.131
```

Properties
- Calculated total energy: -6.63 eV/atom